Entry 1:
The following is a PBEsol calculation of an optimized crystal structure of TlTeCl2, from Alexandria via LeMat-Bulk.

abc: 3.890 3.890 8.084
angles: 90.00 90.00 90.00
Sites, in units of the cell vectors:
1 Tl 0.000 0.000 0.000
2 Te 0.500 0.500 0.609
3 Cl 0.000 0.000 0.554
4 Cl 0.500 0.500 0.153

Output
The excess energy over the best structure of this formula in the dataset is 111.7 meV/atom. As for the symmetry: No. 99. The electronic total energy is -2.815 eV/atom.

=====

Entry 2:
The following is a PBEsol calculation of an optimized crystal structure of KCrCo, from Alexandria via LeMat-Bulk.

abc: 2.763 3.380 12.326
angles: 90.00 90.00 90.00
Sites, in units of the cell vectors:
1 K 0.000 0.000 0.000
2 K 0.500 0.500 0.500
3 Cr 0.000 0.000 0.271
4 Cr 0.500 0.500 0.771
5 Co 0.000 0.000 0.711
6 Co 0.500 0.500 0.211

Output
As for the symmetry: No. 44. The electronic total energy is -5.424 eV/atom. The value obtained for the formation energy from the elements is 0.95 eV per atom.